This record from the Alexandria database describes a relaxed structure of KMnAlBi2. The functional is PBE-GGA.

Output
Formation energy   1905 meV/atom
Calculated total energy   -0.1800 Ry/atom
Spin magnetization   0.08 μB/f.u.
Space-group type   P4/mmm
DOS at the Fermi energy   6.869 states/eV per cell

Cell: 5.934 4.512 5.934 Å, 90.00 90.00 90.00°
Last column: magnetic moment on the atom in μB.
Sites, in units of the cell vectors:
K 0.000 0.000 0.000  0.01
Mn 0.000 0.500 0.000  -0.18
Bi 0.000 0.000 0.500  0.09
Bi 0.500 0.000 0.000  0.08
Al 0.500 0.500 0.500  0.00